DFT (GGA-PBE) results for a relaxed structure of CdCoGeP.

Lattice parameters (Å, degrees): 7.467 2.955 6.634 90.00 104.13 90.00
Space group Cm (No. 8)
Unique sites:
Cd  0.000  0.000  0.000 [2 per cell]
Co  0.125  0.500  0.356 [2 per cell]
Ge  0.165  0.500  0.713 [2 per cell]
P  0.331  0.000  0.357 [2 per cell]

Output
* relative energy among the computed polymorphs: 0.41 eV/f.u.
* energy relative to the elements: -0.006 eV per atom
* energy: -4.5184 eV per atom